# La3TcPb

La3TcPb at its PBEsol-relaxed geometry (meta-GGA SCAN, Alexandria).

Cell: 5.3555 5.3555 5.3555 Å, 90.00 90.00 90.00°
Sites, in units of the cell vectors:
1 Pb 0.5000 0.5000 0.5000
2 Tc 0.0000 0.0000 0.0000
3 La 0.0000 0.5000 0.0000
4 La 0.0000 0.0000 0.5000
5 La 0.5000 0.0000 0.0000

## Properties
electronic total energy = -242.25 eV/cell
symmetry = No. 221
DFT formation energy = -0.418 eV/atom